Entry 1:
Material: Rb2TbSmSe4
Method: DFT, PBE
State: relaxed

Results
Space-group type: P2/m
Raw formation energy (eV/f.u.): -13.9
DOS at the Fermi energy (states/eV per cell): 0.0

```
Rb2TbSmSe4
1.0
7.437 0.000 0.000
0.000 4.294 0.000
-2.477 0.000 8.008
Rb Tb Sm Se
2 1 1 4
Direct
0.000 0.000 0.000
0.500 0.500 0.000
0.000 0.500 0.500
0.500 0.000 0.500
0.229 0.000 0.697
0.264 0.500 0.302
0.736 0.500 0.698
0.771 0.000 0.303
```

---

Entry 2:
Material: RbTb4SmSe8
Method: DFT, PBE
State: relaxed

Results
Space-group type: R3m
Raw formation energy (eV/f.u.): -24.2
DOS at the Fermi energy (states/eV per cell): 0.0

```
RbTb4SmSe8
1.0
4.332 2.501 7.160
-4.332 2.501 7.160
0.000 -5.002 7.160
Rb Tb Sm Se
1 4 1 8
Direct
0.000 0.000 0.000
0.368 0.368 0.886
0.368 0.886 0.368
0.747 0.747 0.747
0.886 0.368 0.368
0.367 0.367 0.367
0.137 0.137 0.571
0.137 0.571 0.137
0.141 0.141 0.141
0.143 0.617 0.617
0.571 0.137 0.137
0.615 0.615 0.615
0.617 0.143 0.617
0.617 0.617 0.143
```

---

Entry 3:
Material: Rb2Sm2Te2Se
Method: DFT, PBE
State: relaxed

Results
Space-group type: I4/mmm
Raw formation energy (eV/f.u.): -8.1
DOS at the Fermi energy (states/eV per cell): 5.5

```
Rb2Sm2Te2Se
1.0
-2.776 2.776 9.120
2.776 -2.776 9.120
2.776 2.776 -9.120
Rb Sm Te Se
2 2 2 1
Direct
0.186 0.186 0.000
0.814 0.814 0.000
0.000 0.500 0.500
0.500 0.000 0.500
0.391 0.391 0.000
0.609 0.609 0.000
0.000 0.000 0.000
```

---

Entry 4:
Material: Rb3Sm2ThSe6
Method: DFT, PBE
State: relaxed

Results
Space-group type: C2/m
Raw formation energy (eV/f.u.): -20.0
DOS at the Fermi energy (states/eV per cell): 4.6

```
Rb3Sm2ThSe6
1.0
3.731 -6.462 0.000
3.731 6.462 0.000
-2.487 0.000 8.059
Rb Sm Th Se
3 2 1 6
Direct
0.000 0.000 0.000
0.332 0.668 0.000
0.668 0.332 0.000
0.167 0.833 0.500
0.833 0.167 0.500
0.500 0.500 0.500
0.102 0.433 0.298
0.237 0.237 0.702
0.433 0.102 0.298
0.567 0.898 0.702
0.763 0.763 0.298
0.898 0.567 0.702
```

---

Entry 5:
Material: Rb3SmTh3Se8
Method: DFT, PBE
State: relaxed

Results
Space-group type: R-3m
Raw formation energy (eV/f.u.): -24.4
DOS at the Fermi energy (states/eV per cell): 9.9

```
Rb3SmTh3Se8
1.0
4.265 2.462 8.229
-4.265 2.462 8.229
0.000 -4.924 8.229
Rb Sm Th Se
3 1 3 8
Direct
0.000 0.500 0.500
0.500 0.000 0.500
0.500 0.500 0.000
0.500 0.500 0.500
0.000 0.000 0.500
0.000 0.500 0.000
0.500 0.000 0.000
0.231 0.734 0.734
0.235 0.235 0.235
0.266 0.266 0.769
0.266 0.769 0.266
0.734 0.231 0.734
0.734 0.734 0.231
0.765 0.765 0.765
0.769 0.266 0.266
```

---

Entry 6:
Material: Rb4SmTh3Se8
Method: DFT, PBE
State: relaxed

Results
Space-group type: R-3m
Raw formation energy (eV/f.u.): -25.2
DOS at the Fermi energy (states/eV per cell): 10.9

```
Rb4SmTh3Se8
1.0
4.281 2.471 8.142
-4.281 2.471 8.142
0.000 -4.943 8.142
Rb Sm Th Se
4 1 3 8
Direct
0.000 0.000 0.000
0.000 0.500 0.500
0.500 0.000 0.500
0.500 0.500 0.000
0.500 0.500 0.500
0.000 0.000 0.500
0.000 0.500 0.000
0.500 0.000 0.000
0.234 0.735 0.735
0.236 0.236 0.236
0.265 0.265 0.766
0.265 0.766 0.265
0.735 0.234 0.735
0.735 0.735 0.234
0.764 0.764 0.764
0.766 0.265 0.265
```

---

Entry 7:
Material: Rb4Sm3ThSe8
Method: DFT, PBE
State: relaxed

Results
Space-group type: R-3m
Raw formation energy (eV/f.u.): -27.0
DOS at the Fermi energy (states/eV per cell): 4.9

```
Rb4Sm3ThSe8
1.0
4.314 2.491 8.044
-4.314 2.491 8.044
0.000 -4.981 8.044
Rb Sm Th Se
4 3 1 8
Direct
0.000 0.000 0.000
0.000 0.500 0.500
0.500 0.000 0.500
0.500 0.500 0.000
0.000 0.000 0.500
0.000 0.500 0.000
0.500 0.000 0.000
0.500 0.500 0.500
0.233 0.233 0.233
0.236 0.732 0.732
0.268 0.268 0.764
0.268 0.764 0.268
0.732 0.236 0.732
0.732 0.732 0.236
0.764 0.268 0.268
0.767 0.767 0.767
```

---

Entry 8:
Material: Rb3Sm3ThSe8
Method: DFT, PBE
State: relaxed

Results
Space-group type: R-3m
Raw formation energy (eV/f.u.): -26.3
DOS at the Fermi energy (states/eV per cell): 0.0

```
Rb3Sm3ThSe8
1.0
4.301 2.483 8.152
-4.301 2.483 8.152
0.000 -4.966 8.152
Rb Sm Th Se
3 3 1 8
Direct
0.000 0.500 0.500
0.500 0.000 0.500
0.500 0.500 0.000
0.000 0.000 0.500
0.000 0.500 0.000
0.500 0.000 0.000
0.500 0.500 0.500
0.232 0.232 0.232
0.234 0.731 0.731
0.269 0.269 0.766
0.269 0.766 0.269
0.731 0.234 0.731
0.731 0.731 0.234
0.766 0.269 0.269
0.768 0.768 0.768
```

---

Entry 9:
Material: Rb3Sm3TiSe8
Method: DFT, PBE
State: relaxed

Results
Space-group type: R-3m
Raw formation energy (eV/f.u.): -23.6

```
Rb3Sm3TiSe8
1.0
4.174 2.410 8.178
-4.174 2.410 8.178
0.000 -4.820 8.178
Rb Sm Ti Se
3 3 1 8
Direct
0.000 0.500 0.500
0.500 0.000 0.500
0.500 0.500 0.000
0.000 0.000 0.500
0.000 0.500 0.000
0.500 0.000 0.000
0.500 0.500 0.500
0.234 0.234 0.234
0.259 0.713 0.713
0.287 0.287 0.741
0.287 0.741 0.287
0.713 0.259 0.713
0.713 0.713 0.259
0.741 0.287 0.287
0.766 0.766 0.766
```

---

Entry 10:
Material: Rb2Sm2TiSe6
Method: DFT, PBE
State: relaxed

Results
Space-group type: C2/m
Raw formation energy (eV/f.u.): -16.7

```
Rb2Sm2TiSe6
1.0
3.573 -6.106 0.000
3.573 6.106 0.000
-2.506 0.000 8.169
Rb Sm Ti Se
2 2 1 6
Direct
0.173 0.827 0.000
0.827 0.173 0.000
0.333 0.667 0.500
0.667 0.333 0.500
0.000 0.000 0.500
0.068 0.370 0.690
0.234 0.234 0.313
0.370 0.068 0.690
0.630 0.932 0.310
0.766 0.766 0.687
0.932 0.630 0.310
```

---

Entry 11:
Material: Rb4Sm3TiSe8
Method: DFT, PBE
State: relaxed

Results
Space-group type: R-3m
Raw formation energy (eV/f.u.): -24.8
DOS at the Fermi energy (states/eV per cell): 6.1

```
Rb4Sm3TiSe8
1.0
4.228 2.441 7.992
-4.228 2.441 7.992
0.000 -4.882 7.992
Rb Sm Ti Se
4 3 1 8
Direct
0.000 0.000 0.000
0.000 0.500 0.500
0.500 0.000 0.500
0.500 0.500 0.000
0.000 0.000 0.500
0.000 0.500 0.000
0.500 0.000 0.000
0.500 0.500 0.500
0.234 0.234 0.234
0.252 0.720 0.720
0.280 0.280 0.748
0.280 0.748 0.280
0.720 0.252 0.720
0.720 0.720 0.252
0.748 0.280 0.280
0.766 0.766 0.766
```

---

Entry 12:
Material: RbSmTlSe3
Method: DFT, PBE
State: relaxed

Results
Space-group type: P2_1/m
Raw formation energy (eV/f.u.): -7.0
DOS at the Fermi energy (states/eV per cell): 5.6

```
RbSmTlSe3
1.0
9.011 0.000 0.000
0.000 4.259 0.000
-3.423 0.000 10.922
Rb Sm Tl Se
2 2 2 6
Direct
0.232 0.250 0.265
0.768 0.750 0.735
0.347 0.750 0.857
0.653 0.250 0.143
0.133 0.250 0.578
0.867 0.750 0.422
0.106 0.250 0.812
0.340 0.750 0.590
0.423 0.750 0.120
0.577 0.250 0.880
0.660 0.250 0.410
0.894 0.750 0.188
```

---

Entry 13:
Material: Rb3Sm2TlSe6
Method: DFT, PBE
State: relaxed

Results
Space-group type: C2/m
Raw formation energy (eV/f.u.): -15.8

```
Rb3Sm2TlSe6
1.0
3.736 -6.468 0.000
3.736 6.468 0.000
-2.490 0.000 8.053
Rb Sm Tl Se
3 2 1 6
Direct
0.000 0.000 0.000
0.334 0.666 0.000
0.666 0.334 0.000
0.167 0.833 0.500
0.833 0.167 0.500
0.500 0.500 0.500
0.101 0.434 0.301
0.233 0.233 0.700
0.434 0.101 0.301
0.566 0.899 0.699
0.767 0.767 0.300
0.899 0.566 0.699
```

---

Entry 14:
Material: Rb4SmTm3Se8
Method: DFT, PBE
State: relaxed

Results
Space-group type: R-3m
Raw formation energy (eV/f.u.): -27.6
DOS at the Fermi energy (states/eV per cell): 0.0

```
Rb4SmTm3Se8
1.0
4.226 2.440 7.995
-4.226 2.440 7.995
0.000 -4.880 7.995
Rb Sm Tm Se
4 1 3 8
Direct
0.000 0.000 0.000
0.000 0.500 0.500
0.500 0.000 0.500
0.500 0.500 0.000
0.500 0.500 0.500
0.000 0.000 0.500
0.000 0.500 0.000
0.500 0.000 0.000
0.225 0.735 0.735
0.231 0.231 0.231
0.265 0.265 0.775
0.265 0.775 0.265
0.735 0.225 0.735
0.735 0.735 0.225
0.769 0.769 0.769
0.775 0.265 0.265
```

---

Entry 15:
Material: Rb3Sm3TmSe8
Method: DFT, PBE
State: relaxed

Results
Space-group type: C2/m
Raw formation energy (eV/f.u.): -24.9
DOS at the Fermi energy (states/eV per cell): 10.6

```
Rb3Sm3TmSe8
1.0
7.345 -4.237 0.000
7.345 4.237 0.000
-4.906 0.000 8.193
Rb Sm Tm Se
3 3 1 8
Direct
0.000 0.000 0.000
0.000 0.500 0.000
0.500 0.000 0.000
0.000 0.500 0.500
0.500 0.000 0.500
0.500 0.500 0.500
0.000 0.000 0.500
0.227 0.227 0.693
0.227 0.739 0.693
0.261 0.773 0.307
0.267 0.267 0.300
0.733 0.733 0.700
0.739 0.227 0.693
0.773 0.261 0.307
0.773 0.773 0.307
```

---

Entry 16:
Material: Rb3Sm2TmSe6
Method: DFT, PBE
State: relaxed

Results
Space-group type: C2/m
Raw formation energy (eV/f.u.): -20.8
DOS at the Fermi energy (states/eV per cell): 0.0

```
Rb3Sm2TmSe6
1.0
3.709 -6.424 0.000
3.709 6.424 0.000
-2.476 0.000 8.005
Rb Sm Tm Se
3 2 1 6
Direct
0.000 0.000 0.000
0.332 0.668 0.000
0.668 0.332 0.000
0.166 0.834 0.500
0.834 0.166 0.500
0.500 0.500 0.500
0.109 0.434 0.303
0.241 0.241 0.697
0.434 0.109 0.303
0.566 0.891 0.697
0.759 0.759 0.303
0.891 0.566 0.697
```

---

Entry 17:
Material: Rb2SmUSe6
Method: DFT, PBE
State: relaxed

Results
Space-group type: Pmmn
Raw formation energy (eV/f.u.): -12.2
DOS at the Fermi energy (states/eV per cell): 12.5

```
Rb2SmUSe6
1.0
7.842 0.000 0.000
0.000 11.090 0.000
0.000 0.000 7.842
Rb Sm U Se
4 2 2 12
Direct
0.250 0.000 0.250
0.250 0.500 0.250
0.750 0.000 0.750
0.750 0.500 0.750
0.250 0.250 0.749
0.750 0.750 0.251
0.250 0.750 0.751
0.750 0.250 0.249
0.009 0.750 0.510
0.009 0.750 0.992
0.250 0.509 0.751
0.250 0.991 0.751
0.491 0.750 0.510
0.491 0.750 0.992
0.509 0.250 0.008
0.509 0.250 0.490
0.750 0.009 0.249
0.750 0.491 0.249
0.991 0.250 0.008
0.991 0.250 0.490
```

---

Entry 18:
Material: RbSm2USe5
Method: DFT, PBE
State: relaxed

Results
Space-group type: Immm
Raw formation energy (eV/f.u.): -13.2
DOS at the Fermi energy (states/eV per cell): 7.0

```
RbSm2USe5
1.0
-2.649 3.771 7.197
2.649 -3.771 7.197
2.649 3.771 -7.197
Rb Sm U Se
1 2 1 5
Direct
0.000 0.000 0.000
0.297 0.797 0.500
0.703 0.203 0.500
0.500 0.500 0.000
0.109 0.347 0.763
0.416 0.653 0.763
0.500 0.000 0.500
0.584 0.347 0.237
0.891 0.653 0.237
```

---

Entry 19:
Material: Rb4Sm3USe8
Method: DFT, PBE
State: relaxed

Results
Space-group type: R-3m
Raw formation energy (eV/f.u.): -25.5
DOS at the Fermi energy (states/eV per cell): 9.9

```
Rb4Sm3USe8
1.0
4.318 2.493 8.019
-4.318 2.493 8.019
0.000 -4.986 8.019
Rb Sm U Se
4 3 1 8
Direct
0.000 0.000 0.000
0.000 0.500 0.500
0.500 0.000 0.500
0.500 0.500 0.000
0.000 0.000 0.500
0.000 0.500 0.000
0.500 0.000 0.000
0.500 0.500 0.500
0.233 0.233 0.233
0.236 0.731 0.731
0.269 0.269 0.764
0.269 0.764 0.269
0.731 0.236 0.731
0.731 0.731 0.236
0.764 0.269 0.269
0.767 0.767 0.767
```